A plane-wave DFT calculation with PBE-GGA was carried out for a relaxed structure of NdGdInCu.

Geometry as POSCAR:
```
NdGdInCu
1.0
0.000 3.724 3.724
3.724 0.000 3.724
3.724 3.724 0.000
Nd Gd In Cu
1 1 1 1
direct
0.000 0.000 0.000
0.500 0.500 0.500
0.750 0.750 0.750
0.250 0.250 0.250
```

Results
The energy of formation from the pure elements is -288.3 meV/atom. Its space group is No. 216. Its total magnetic moment is 1.930 μB per atom.